First-principles (PBE) data for an optimized crystal structure of Dy5Ho2Tm12, as listed in the Alexandria database.

The value obtained for the energy is -4.39 eV/atom. The energy of formation from the pure elements comes out at 0.13 eV per atom.

The structure belongs to space group C2/m (No. 12); the cell edges are 15.298, 9.154 and 8.454 Å and the angles 90.00°, 92.08° and 90.00°. The inequivalent atoms are Dy at (0.000, 0.000, 0.000), Dy at (0.206, 0.500, 0.518), Dy at (0.231, 0.000, 0.072), Ho at (0.000, 0.326, 0.500), Tm at (0.057, 0.500, 0.834), Tm at (0.075, 0.000, 0.373), Tm at (0.130, 0.309, 0.166) and Tm at (0.149, 0.179, 0.741).